## AcLa5Pr (PBE)

Data for an optimized crystal structure of AcLa5Pr.

a b c (Å): 6.8918 6.8918 12.4834
angles (deg): 105.62 105.62 97.68
Sites, in units of the cell vectors:
La 0.4663 0.7580 0.5357
La 0.9746 0.6137 0.6677
La 0.3863 0.0254 0.8323
La 0.2420 0.5337 0.9643
La 0.5337 0.2420 0.4643
La 0.0254 0.3863 0.3323
La 0.6137 0.9746 0.1677
La 0.1628 0.8372 0.2500
La 0.7580 0.4663 0.0357
La 0.8372 0.1628 0.7500
Pr 0.5041 0.4959 0.2500
Pr 0.4959 0.5041 0.7500
Ac 0.0000 0.0000 0.0000
Ac 0.0000 0.0000 0.5000

Computed properties:
Calculated volume (Å³ per atom): 38.30
Energy relative to the lowest polymorph listed for this composition (eV per formula unit): 0.00
Total DFT energy (no corrections) (eV/atom): -4.7235
Size of the total moment (μB per cell): 0.00
ΔE_f (kJ/mol of atoms): 6.3
Theoretical density (g cm⁻³): 6.58

## Ac3LaPr (PBE)

Data for an optimized crystal structure of Ac3LaPr.

a b c (Å): 3.9089 10.9788 10.2707
angles (deg): 74.78 100.97 90.00
Sites, in units of the cell vectors:
La 0.2004 0.1500 0.4008
La 0.7996 0.8500 0.5992
Ac 0.0012 0.2619 0.0024
Ac 0.9988 0.7381 0.9976
Ac 0.7999 0.3494 0.5998
Ac 0.3992 0.0464 0.7984
Ac 0.6008 0.9536 0.2016
Ac 0.2001 0.6506 0.4002
Pr 0.3969 0.5535 0.7938
Pr 0.6031 0.4465 0.2062

Computed properties:
Calculated volume (Å³ per atom): 41.70
Energy relative to the lowest polymorph listed for this composition (eV per formula unit): 0.00
Total DFT energy (no corrections) (eV/atom): -4.3826
Size of the total moment (μB per cell): 0.00
ΔE_f (kJ/mol of atoms): 2.3
Theoretical density (g cm⁻³): 7.65

## Ac4La15Pr (PBE)

Data for an optimized crystal structure of Ac4La15Pr.

a b c (Å): 5.3370 5.3370 26.7826
angles (deg): 90.00 90.00 90.00
Sites, in units of the cell vectors:
La 0.0000 0.5000 0.9026
La 0.5000 0.5000 0.6006
La 0.5000 0.5000 0.8026
La 0.5000 0.5000 0.3994
La 0.5000 0.5000 0.1974
La 0.5000 0.0000 0.7006
La 0.5000 0.5000 0.0000
La 0.0000 0.5000 0.0974
La 0.0000 0.5000 0.7006
La 0.5000 0.0000 0.2994
La 0.0000 0.5000 0.5000
La 0.0000 0.5000 0.2994
La 0.5000 0.0000 0.0974
La 0.5000 0.0000 0.9026
La 0.5000 0.0000 0.5000
Pr 0.0000 0.0000 0.0000
Ac 0.0000 0.0000 0.1986
Ac 0.0000 0.0000 0.3996
Ac 0.0000 0.0000 0.8014
Ac 0.0000 0.0000 0.6004

Computed properties:
Calculated volume (Å³ per atom): 38.14
Total DFT energy (no corrections) (eV/atom): -4.7417
Size of the total moment (μB per cell): 0.00
ΔE_f (kJ/mol of atoms): 1.4
Theoretical density (g cm⁻³): 6.82

## Ac8La2Pr3 (PBE)

Data for an optimized crystal structure of Ac8La2Pr3.

a b c (Å): 6.2262 8.3759 11.5962
angles (deg): 111.17 90.02 90.00
Sites, in units of the cell vectors:
Pr 0.5000 0.0000 0.0000
Pr 0.0000 0.7097 0.0000
Pr 0.0000 0.2903 0.0000
Ac 0.9999 0.1328 0.2656
Ac 0.5003 0.3939 0.2081
Ac 0.9994 0.3280 0.6559
Ac 0.4997 0.1858 0.7919
Ac 0.0006 0.6720 0.3441
Ac 0.4997 0.6061 0.7919
Ac 0.5003 0.8142 0.2081
Ac 0.0001 0.8672 0.7344
La 0.5008 0.7574 0.5148
La 0.4992 0.2426 0.4852

Computed properties:
Calculated volume (Å³ per atom): 43.38
Total DFT energy (no corrections) (eV/atom): -4.1905
Size of the total moment (μB per cell): 0.00
ΔE_f (kJ/mol of atoms): 19.2
Theoretical density (g cm⁻³): 7.41